DyHo2Co2B2C3 after structural relaxation, computed with PBE.

```
DyHo2Co2B2C3
1.0
-1.764 1.764 10.243
1.764 -1.764 10.243
1.764 1.764 -10.243
Co C B Ho Dy
2 3 2 2 1
direct
0.250 0.750 0.500 Co
0.750 0.250 0.500 Co
0.121 0.121 0.000 C
0.879 0.879 0.000 C
0.500 0.500 0.000 C
0.194 0.194 0.000 B
0.806 0.806 0.000 B
0.624 0.624 0.000 Ho
0.376 0.376 0.000 Ho
0.000 0.000 0.000 Dy
```

Results
Its total energy is -7.23 eV/atom.